No. 1
Here is crystalline RbSrCdSb at its relaxed geometry from the Alexandria database. Energies are from GGA-PBE.

Cell and atoms, written as POSCAR:
```
RbSrCdSb
1.0
5.898 0.000 0.000
2.949 5.108 0.000
2.949 1.703 4.816
Sr Sb Cd Rb
1 1 1 1
Direct
0.500 0.500 0.500
0.250 0.250 0.250
0.750 0.750 0.750
0.000 0.000 0.000
```

Computed properties:
* crystal system: cubic
* spin magnetization: 0.00 μB per formula unit
* space-group type: No. 216
* energy relative to the elements, uncorrected: -0.45 eV/atom
* mass density: 4.66 Mg/m³

=====

No. 2
Here is crystalline LaTe4W at its relaxed geometry from the Alexandria database. Energies are from GGA-PBE.

Cell and atoms, written as POSCAR:
```
LaTe4W
1.0
0.000 4.463 4.463
4.463 0.000 4.463
4.463 4.463 0.000
Te W La
4 1 1
Direct
0.375 0.375 0.375
0.874 0.375 0.375
0.375 0.874 0.375
0.375 0.375 0.874
0.750 0.750 0.750
0.000 0.000 0.000
```

Computed properties:
* crystal system: cubic
* spin magnetization: 4.62 μB per formula unit
* space-group type: No. 216
* energy relative to the elements, uncorrected: 0.73 eV/atom
* mass density: 7.78 Mg/m³

=====

No. 3
Here is crystalline K2CoHg at its relaxed geometry from the Alexandria database. Energies are from GGA-PBE.

Cell and atoms, written as POSCAR:
```
K2CoHg
1.0
-3.651 0.647 -0.236
-0.644 -2.757 2.406
0.655 6.463 7.579
Co K Hg
1 2 1
Direct
0.000 0.000 0.603
0.500 0.500 0.328
0.000 0.000 0.916
0.500 0.500 0.652
```

Computed properties:
* crystal system: tetragonal
* spin magnetization: 1.49 μB per formula unit
* formation enthalpy at 0 K: 412 meV/atom
* space-group type: No. 99
* mass density: 4.07 Mg/m³

=====

No. 4
Here is crystalline Li2AlCd at its relaxed geometry from the Alexandria database. Energies are from GGA-PBE.

Cell and atoms, written as POSCAR:
```
Li2AlCd
1.0
0.348 -1.613 4.267
-2.732 1.626 3.289
-3.318 -2.634 1.727
Li Al Cd
2 1 1
Direct
0.750 0.750 0.750
0.250 0.250 0.250
0.000 0.000 0.000
0.500 0.500 0.500
```

Computed properties:
* crystal system: cubic
* spin magnetization: 0.00 μB per formula unit
* formation enthalpy at 0 K: -157 meV/atom
* space-group type: No. 225
* mass density: 3.76 Mg/m³